DFT (PBE) results for a geometry-optimized Li2CaHgCl6 structure.

## Properties
The calculation puts the uncorrected formation energy at -1.584 eV per atom. The spin magnetization comes out at 0.0 μB per formula unit. For the calculated total energy, the calculation gives -3.305 eV/atom.

abc: 6.6849 6.6855 7.1833
angles: 62.28 62.26 59.98
Fractional coordinates of all 10 atoms:
Li  0.5087  0.5088  0.4739
Li  0.0192  0.0192  0.9430
Ca  0.8156  0.8157  0.5528
Hg  0.3107  0.3106  0.0681
Cl  0.6179  0.2408  0.2452
Cl  0.2408  0.8961  0.2452
Cl  0.8961  0.6177  0.2452
Cl  0.3916  0.7372  0.7472
Cl  0.7372  0.1238  0.7474
Cl  0.1238  0.3918  0.7473